[1]
10
Lattice="3.911 0.000 0.000 0.000 3.911 0.000 0.000 0.000 20.949" Properties=species:S:1:pos:R:3 comment="Ac5NdZn4, optimized geometry, DFT GGA-PBE" e_form_mev_per_atom=-191 pbc="T T T"
Ac 1.955 1.955 2.682
Ac 1.955 1.955 6.572
Ac 1.955 1.955 10.474
Ac 1.955 1.955 14.377
Ac 1.955 1.955 18.267
Nd 0.000 0.000 0.000
Zn 0.000 0.000 4.592
Zn 0.000 0.000 8.531
Zn 0.000 0.000 12.418
Zn 0.000 0.000 16.357

=====

[2]
8
Lattice="13.129 0.000 0.000 0.000 13.129 0.000 6.565 6.565 2.447" Properties=species:S:1:pos:R:3 comment="Rb2NbP, optimized geometry, DFT GGA-PBE" e_form_mev_per_atom=390 pbc="T T T"
P 6.565 6.565 0.000
P 6.565 13.129 1.224
Nb 0.000 0.000 0.000
Nb 13.129 6.565 1.224
Rb 7.390 3.282 0.612
Rb 5.739 9.847 0.612
Rb 9.847 12.304 1.836
Rb 16.412 13.955 1.836

=====

[3]
14
Lattice="3.568 0.000 0.000 0.000 7.137 0.000 0.000 0.000 7.137" Properties=species:S:1:pos:R:3 comment="CeCo4P2, optimized geometry, DFT GGA-PBE" e_above_lowest_polymorph_mev_per_atom=0 e_form_mev_per_atom=-715 pbc="T T T"
Ce 1.784 0.000 0.000
Ce 0.000 3.569 3.569
Co 0.000 0.590 2.444
Co 0.000 6.547 4.693
Co 1.784 1.125 4.158
Co 1.784 6.012 2.979
Co 1.784 2.979 6.012
Co 1.784 4.158 1.125
Co 0.000 2.444 0.590
Co 0.000 4.693 6.547
P 0.000 1.589 5.548
P 0.000 5.548 1.589
P 1.784 5.158 5.158
P 1.784 1.980 1.980

=====

[4]
5
Lattice="-1.844 -3.428 -1.287 3.516 -2.061 0.451 -0.894 -4.265 6.111" Properties=species:S:1:pos:R:3 comment="Ba2H2S, optimized geometry, DFT GGA-PBE" e_above_lowest_polymorph_mev_per_atom=61 pbc="T T T"
H -0.951 -5.219 2.203
H 1.729 -4.535 3.072
S 0.000 0.000 0.000
Ba 0.383 -3.143 1.292
Ba 0.395 -6.611 3.983

=====

[5]
10
Lattice="-5.008 -0.415 0.757 -0.848 -4.598 -8.137 3.436 -0.561 5.371" Properties=species:S:1:pos:R:3 comment="SmZnCu3, optimized geometry, DFT GGA-PBE" e_above_lowest_polymorph_mev_per_atom=0 e_form_mev_per_atom=-109 pbc="T T T"
Sm 0.259 -1.508 0.886
Sm -2.679 -4.067 -2.896
Zn -0.424 -2.299 -4.069
Zn -2.504 -0.208 0.378
Cu -3.912 -1.797 -1.282
Cu -1.408 -1.590 -1.661
Cu -1.011 -3.985 -0.349
Cu 1.493 -3.778 -0.727
Cu -0.329 -4.698 -4.759
Cu -2.090 -0.877 2.750

=====

[6]
6
Lattice="-0.924 -4.058 -1.294 3.177 -1.538 2.556 -3.599 -0.509 4.167" Properties=species:S:1:pos:R:3 comment="HoAl2GaNi2, optimized geometry, DFT GGA-PBE" e_form_mev_per_atom=-302 pbc="T T T"
Ho -1.799 -0.255 2.084
Al -1.563 -3.179 3.746
Al 0.218 -2.927 1.684
Ga 0.000 0.000 0.000
Ni -0.462 -2.029 -0.647
Ni 1.589 -0.769 1.278

=====

[7]
10
Lattice="-2.788 3.225 -0.141 -0.863 -0.565 4.139 7.462 6.559 2.451" Properties=species:S:1:pos:R:3 comment="NaPm2Si3Pt4, optimized geometry, DFT GGA-PBE" raw_formation_energy_ev_per_atom=-0.91 pbc="T T T"
Na 1.906 4.609 3.224
Pm 0.438 3.223 0.531
Pm 5.198 4.665 3.918
Si 3.731 3.279 1.225
Si 5.133 7.349 2.073
Si 0.504 0.539 2.377
Pt -1.826 1.330 1.999
Pt 0.000 0.000 0.000
Pt 3.414 5.839 1.509
Pt 2.222 2.050 2.941

=====

[8]
4
Lattice="-2.011 1.580 -0.980 -1.825 -1.399 1.488 0.999 4.873 5.807" Properties=species:S:1:pos:R:3 comment="CuIr2W, optimized geometry, DFT GGA-PBE" e_above_lowest_polymorph_mev_per_atom=262 e_form_mev_per_atom=103 pbc="T T T"
Cu -1.163 3.769 4.638
Ir 0.991 4.833 5.760
Ir -1.672 1.290 1.683
W 0.507 2.470 2.944

=====

[9]
4
Lattice="-0.283 -1.571 4.774 3.519 -0.204 0.141 0.150 3.345 1.110" Properties=species:S:1:pos:R:3 comment="Pu2SiRh, optimized geometry, DFT GGA-PBE" raw_formation_energy_ev_per_atom=-0.18 pbc="T T T"
Si -0.141 -0.785 2.387
Rh 1.693 0.785 3.012
Pu 0.075 1.673 0.555
Pu 1.759 -0.102 0.071

=====

[10]
5
Lattice="3.885 0.000 0.000 0.000 3.885 0.000 1.943 1.943 6.293" Properties=species:S:1:pos:R:3 comment="Ge2Rh2Br, optimized geometry, DFT GGA-PBE" e_above_lowest_polymorph_mev_per_atom=0 raw_formation_energy_ev_per_atom=-0.14 pbc="T T T"
Ge 3.885 1.943 3.146
Ge 1.943 3.885 3.146
Rh 1.943 1.943 1.638
Rh 3.885 3.885 4.655
Br 0.000 0.000 0.000

=====

[11]
5
Lattice="-1.419 4.646 -2.305 -5.141 -1.576 -0.012 -0.812 2.606 5.751" Properties=species:S:1:pos:R:3 comment="AgGe2PPb, optimized geometry, DFT GGA-PBE" e_form_mev_per_atom=1128 pbc="T T T"
Pb -0.406 1.303 2.875
P -3.686 2.838 1.717
Ge -2.570 -0.788 -0.006
Ge -0.709 2.323 -1.153
Ag 0.000 0.000 0.000

=====

[12]
11
Lattice="3.991 0.000 -1.135 -0.413 6.515 -1.451 0.063 -0.627 7.804" Properties=species:S:1:pos:R:3 comment="MgZn2Ga8, optimized geometry, DFT GGA-PBE" e_above_lowest_polymorph_mev_per_atom=0 e_form_mev_per_atom=-14 pbc="T T T"
Mg 1.996 0.000 -0.568
Zn 0.675 3.810 2.372
Zn 2.967 2.078 2.846
Ga 2.202 2.838 0.160
Ga 1.261 0.196 4.435
Ga 0.510 1.053 1.795
Ga -0.089 4.650 -0.312
Ga 3.131 4.835 3.423
Ga 2.380 5.692 0.783
Ga 1.439 3.050 5.058
Ga 3.730 1.238 5.530